(1)
# PCS3

PCS3 after structural relaxation (GGA-PBE, Alexandria via LeMat-Bulk).

Calculated values
Energy ... -0.130 hartree per atom
Density of states at the Fermi level ... 0.632 states/eV per atom
Energy above the most stable polymorph in this dataset ... 489.9 meV/atom
E_form (uncorrected) ... 43.2 kcal/mol of atoms
SG ... Pm-3m

Cell: 4.4522 4.4522 4.4522 Å, 90.00 90.00 90.00°
Last column: nearest neighbours and their distance in Å.
Atoms (fractional coordinates):
S: 0.0000 0.5000 0.0000  2 P 2.23
S: 0.5000 0.0000 0.0000  2 P 2.23
C: 0.5000 0.5000 0.5000  12 S 3.15
P: 0.0000 0.0000 0.0000  6 S 2.23
S: 0.0000 0.0000 0.5000  2 P 2.23



(2)
# PC2S

PC2S after structural relaxation (GGA-PBE, Alexandria via LeMat-Bulk).

Calculated values
Energy ... -0.210 hartree per atom
Density of states at the Fermi level ... 0.513 states/eV per atom
Energy above the most stable polymorph in this dataset ... 0.0 meV/atom
E_form (uncorrected) ... 29.8 kcal/mol of atoms
SG ... I-42d

Cell: 4.9435 4.9435 5.0198 Å, 60.50 60.50 90.00°
Last column: nearest neighbours and their distance in Å.
Atoms (fractional coordinates):
S: 0.0000 0.0000 0.0000  4 C 2.17
C: 0.5626 0.1250 0.2500  2 P 1.79
P: 0.5000 0.5000 0.0000  4 C 1.79
P: 0.2500 0.7500 0.5000  4 C 1.79
C: 0.8750 0.8126 0.7500  2 P 1.79
C: 0.1874 0.6250 0.2500  2 P 1.79
S: 0.7500 0.2500 0.5000  4 C 2.17
C: 0.3750 0.4374 0.7500  2 P 1.79



(3)
# PCS

PCS after structural relaxation (GGA-PBE, Alexandria via LeMat-Bulk).

Calculated values
Energy ... -0.215 hartree per atom
Density of states at the Fermi level ... 0.103 states/eV per atom
Energy above the most stable polymorph in this dataset ... 141.4 meV/atom
E_form (uncorrected) ... 9.4 kcal/mol of atoms
SG ... P1

Cell: 4.5687 5.4434 5.7989 Å, 79.53 88.65 67.22°
Last column: nearest neighbours and their distance in Å.
Atoms (fractional coordinates):
C: 0.0139 0.5456 0.2057  2 S 1.69-1.72, 1 P 1.79
S: 0.3120 0.3817 0.0422  2 C 1.69-1.72
S: 0.9262 0.3571 0.4484  1 C 1.72
P: 0.2403 0.9523 0.4086  1 C 1.77
P: 0.8825 0.9061 0.1240  2 C 1.78-1.79
C: 0.4850 0.0605 0.2097  1 S 1.72, 2 P 1.77-1.78



(4)
# PCS2

PCS2 after structural relaxation (GGA-PBE, Alexandria via LeMat-Bulk).

Calculated values
Energy ... -0.160 hartree per atom
Density of states at the Fermi level ... 0.273 states/eV per atom
Energy above the most stable polymorph in this dataset ... 433.7 meV/atom
E_form (uncorrected) ... 31.8 kcal/mol of atoms
SG ... R-3m

Cell: 7.3159 7.3159 7.3159 Å, 24.14 24.14 24.14°
Last column: nearest neighbours and their distance in Å.
Atoms (fractional coordinates):
P: 0.0000 0.0000 0.0000  2 S 2.32
S: 0.1089 0.1089 0.1089  3 C 2.15, 1 P 2.32
S: 0.8911 0.8911 0.8911  3 C 2.15, 1 P 2.32
C: 0.5000 0.5000 0.5000  6 S 2.15



(5)
# PCS

PCS after structural relaxation (GGA-PBE, Alexandria via LeMat-Bulk).

Calculated values
Energy ... -0.216 hartree per atom
Energy above the most stable polymorph in this dataset ... 120.3 meV/atom
E_form (uncorrected) ... 8.9 kcal/mol of atoms
SG ... P1

Cell: 5.2302 5.5767 5.6428 Å, 72.06 78.34 74.21°
Last column: nearest neighbours and their distance in Å.
Atoms (fractional coordinates):
P: 0.2482 0.0363 0.9209  2 C 1.74-1.77
C: 0.4440 0.7893 0.7919  2 S 1.71-1.74, 1 P 1.74
S: 0.3527 0.4980 0.9474  2 C 1.74-1.75
C: 0.4558 0.2608 0.7840  2 P 1.74-1.77, 1 S 1.75
P: 0.7262 0.2180 0.5536  1 C 1.74
S: 0.7101 0.8393 0.5637  1 C 1.71



(6)
# PCS

PCS after structural relaxation (GGA-PBE, Alexandria via LeMat-Bulk).

Calculated values
Energy ... -0.220 hartree per atom
Density of states at the Fermi level ... 0.152 states/eV per atom
Energy above the most stable polymorph in this dataset ... 0.0 meV/atom
E_form (uncorrected) ... 6.1 kcal/mol of atoms
SG ... P-1

Cell: 2.4612 4.4276 13.9591 Å, 85.57 106.67 57.46°
Last column: nearest neighbours and their distance in Å.
Atoms (fractional coordinates):
S: 0.7484 0.2486 0.8396  1 C 1.73
C: 0.8343 0.9582 0.0270  2 C 1.42
C: 0.1657 0.0418 0.9730  2 C 1.42
P: 0.6205 0.3006 0.4508  4 P 2.25-2.46
P: 0.3795 0.6994 0.5492  4 P 2.25-2.46
S: 0.2516 0.7514 0.1604  1 C 1.73



(7)
# PCS

PCS after structural relaxation (GGA-PBE, Alexandria via LeMat-Bulk).

Calculated values
Energy ... -0.214 hartree per atom
Density of states at the Fermi level ... 0.308 states/eV per atom
Energy above the most stable polymorph in this dataset ... 164.7 meV/atom
E_form (uncorrected) ... 9.9 kcal/mol of atoms
SG ... P1

Cell: 3.3182 5.0237 7.1690 Å, 78.07 76.95 89.96°
Last column: nearest neighbours and their distance in Å.
Atoms (fractional coordinates):
S: 0.3675 0.9283 0.9075  1 C 1.73
P: 0.5939 0.6474 0.4435  1 C 1.77
C: 0.4778 0.1506 0.6817  1 C 1.43
C: 0.4780 0.4355 0.6816  1 C 1.43
P: 0.3621 0.5062 0.9199  1 C 1.77
S: 0.5878 0.0618 0.4558  1 C 1.73



(8)
# P2CS2

P2CS2 after structural relaxation (GGA-PBE, Alexandria via LeMat-Bulk).

Calculated values
Energy ... -0.157 hartree per atom
Density of states at the Fermi level ... 0.618 states/eV per atom
Energy above the most stable polymorph in this dataset ... 0.0 meV/atom
E_form (uncorrected) ... 31.9 kcal/mol of atoms
SG ... P4/mmm

Cell: 4.0982 4.0982 4.0466 Å, 90.00 90.00 90.00°
Last column: nearest neighbours and their distance in Å.
Atoms (fractional coordinates):
C: 0.0000 0.0000 0.0000  2 P 2.02, 4 S 2.05
S: 0.0000 0.5000 0.0000  2 C 2.05
S: 0.5000 0.0000 0.0000  2 C 2.05
P: 0.5000 0.5000 0.5000  8 S 2.88, 4 P 2.90
P: 0.0000 0.0000 0.5000  2 C 2.02



(9)
# P2CS

P2CS after structural relaxation (GGA-PBE, Alexandria via LeMat-Bulk).

Calculated values
Energy ... -0.193 hartree per atom
Density of states at the Fermi level ... 0.390 states/eV per atom
Energy above the most stable polymorph in this dataset ... 0.0 meV/atom
E_form (uncorrected) ... 18.3 kcal/mol of atoms
SG ... I-42d

Cell: 5.5916 5.5916 5.3117 Å, 58.24 58.24 90.00°
Last column: nearest neighbours and their distance in Å.
Atoms (fractional coordinates):
C: 0.2500 0.7500 0.5000  4 P 1.92
S: 0.7500 0.2500 0.5000  4 P 2.47
P: 0.5481 0.1250 0.2500  2 C 1.92
P: 0.2019 0.6250 0.2500  2 C 1.92
P: 0.3750 0.4519 0.7500  2 C 1.92
C: 0.5000 0.5000 0.0000  4 P 1.92
S: 0.0000 0.0000 0.0000  4 P 2.47
P: 0.8750 0.7981 0.7500  2 C 1.92



(10)
# P2CS2

P2CS2 after structural relaxation (GGA-PBE, Alexandria via LeMat-Bulk).

Calculated values
Energy ... -0.157 hartree per atom
Density of states at the Fermi level ... 0.662 states/eV per atom
Energy above the most stable polymorph in this dataset ... 10.6 meV/atom
E_form (uncorrected) ... 32.1 kcal/mol of atoms
SG ... P4/mmm

Cell: 4.2397 4.2397 3.8874 Å, 90.00 90.00 90.00°
Last column: nearest neighbours and their distance in Å.
Atoms (fractional coordinates):
P: 0.0000 0.5000 0.0000  2 C 2.12
C: 0.0000 0.0000 0.0000  2 S 1.94, 4 P 2.12
S: 0.5000 0.5000 0.5000  8 P 2.88, 4 S 3.00
S: 0.0000 0.0000 0.5000  2 C 1.94
P: 0.5000 0.0000 0.0000  2 C 2.12



(11)
# PCS

PCS after structural relaxation (GGA-PBE, Alexandria via LeMat-Bulk).

Calculated values
Energy ... -0.212 hartree per atom
Density of states at the Fermi level ... 0.534 states/eV per atom
Energy above the most stable polymorph in this dataset ... 212.5 meV/atom
E_form (uncorrected) ... 11.0 kcal/mol of atoms
SG ... P1

Cell: 2.7718 3.6638 6.7918 Å, 92.69 90.61 89.91°
Last column: nearest neighbours and their distance in Å.
Atoms (fractional coordinates):
S: 0.1867 0.9818 0.9430  1 C 1.67
C: 0.1801 0.9736 0.6966  1 S 1.67, 2 P 1.77
P: 0.6759 0.9675 0.5344  2 C 1.77



(12)
# PCS

PCS after structural relaxation (GGA-PBE, Alexandria via LeMat-Bulk).

Calculated values
Energy ... -0.219 hartree per atom
Energy above the most stable polymorph in this dataset ... 38.1 meV/atom
E_form (uncorrected) ... 7.0 kcal/mol of atoms
SG ... P1

Cell: 4.1686 5.0089 6.3889 Å, 71.26 88.20 89.96°
Last column: nearest neighbours and their distance in Å.
Atoms (fractional coordinates):
C: 0.2487 0.8891 0.6816  1 C 1.38
S: 0.0616 0.2438 0.9052  1 C 1.76
C: 0.2488 0.1652 0.6817  1 C 1.38
S: 0.4364 0.4268 0.4582  1 C 1.76
P: 0.9135 0.6662 0.8316  1 C 1.83
P: 0.5842 0.7890 0.5317  1 C 1.83